! UMnSi2Ir2 | the Alexandria database | PBE | optimized geometry; values from VASP
! * SG: I4/mmm
! * total magnetic moment: 1.52 μB per cell
! * E_form (uncorrected): -261.8 meV/atom
! * DOS at the Fermi energy: 0.8220 states/eV per atom
! * VASP energy: -8.4328 eV/atom
&SYSTEM
  ibrav = 0, nat = 12, ntyp = 4
/
ATOMIC_SPECIES
U 238.03 U.upf
Mn 54.94 Mn.upf
Si 28.09 Si.upf
Ir 192.22 Ir.upf
ATOMIC_POSITIONS angstrom
U 0.000 0.000 0.000
U 1.900 1.900 7.397
Mn 0.000 0.000 7.397
Mn 1.900 1.900 0.000
Si 0.000 0.000 5.131
Si 0.000 0.000 9.663
Si 1.900 1.900 2.266
Si 1.900 1.900 12.528
Ir 0.000 1.900 3.698
Ir 0.000 1.900 11.095
Ir 1.900 0.000 3.698
Ir 1.900 0.000 11.095
CELL_PARAMETERS angstrom
3.801 0.000 0.000
0.000 3.801 0.000
0.000 0.000 14.794


! U2MnSi6Ir | the Alexandria database | PBE | optimized geometry; values from VASP
! * SG: R-3m
! * total magnetic moment: 10.53 μB per cell
! * E_form (uncorrected): -241.0 meV/atom
! * DOS at the Fermi energy: 1.0329 states/eV per atom
! * VASP energy: -7.5555 eV/atom
&SYSTEM
  ibrav = 0, nat = 20, ntyp = 4
/
ATOMIC_SPECIES
U 238.03 U.upf
Mn 54.94 Mn.upf
Si 28.09 Si.upf
Ir 192.22 Ir.upf
ATOMIC_POSITIONS angstrom
U 0.000 0.000 4.558
U 0.000 0.000 10.199
U 0.000 0.000 25.940
U 0.000 0.000 31.581
Mn 0.000 0.000 0.000
Mn 0.000 0.000 18.070
Si -1.703 -0.983 16.770
Si 0.000 -1.944 13.896
Si -1.684 0.972 13.896
Si -1.684 -0.972 22.244
Si 0.000 -1.966 19.369
Si -1.703 0.983 19.369
Si 1.703 -0.983 16.770
Si 0.000 1.966 16.770
Si 1.684 0.972 13.896
Si 1.684 -0.972 22.244
Si 0.000 1.944 22.244
Si 1.703 0.983 19.369
Ir 0.000 0.000 15.269
Ir 0.000 0.000 20.870
CELL_PARAMETERS angstrom
2.890 1.668 12.046
-2.890 1.668 12.046
0.000 -3.337 12.046


! UMnSi2Ir | the Alexandria database | PBE | optimized geometry; values from VASP
! * SG: I-4m2
! * total magnetic moment: 1.56 μB per cell
! * E_form (uncorrected): -625.7 meV/atom
! * DOS at the Fermi energy: 0.9080 states/eV per atom
! * VASP energy: -8.6587 eV/atom
&SYSTEM
  ibrav = 0, nat = 10, ntyp = 4
/
ATOMIC_SPECIES
U 238.03 U.upf
Mn 54.94 Mn.upf
Si 28.09 Si.upf
Ir 192.22 Ir.upf
ATOMIC_POSITIONS angstrom
U 0.000 0.000 0.000
U 2.020 2.020 4.871
Mn 0.000 2.020 7.307
Mn 2.020 0.000 2.436
Si 0.000 0.000 3.683
Si 0.000 0.000 6.059
Si 2.020 2.020 1.188
Si 2.020 2.020 8.554
Ir 0.000 2.020 2.436
Ir 2.020 0.000 7.307
CELL_PARAMETERS angstrom
4.040 0.000 0.000
0.000 4.040 0.000
0.000 0.000 9.742


! MnVSiIr | the Alexandria database | PBE | optimized geometry; values from VASP
! * SG: F-43m
! * total magnetic moment: 3.94 μB per cell
! * E_form (uncorrected): -442.9 meV/atom
! * DOS at the Fermi energy: 0.8347 states/eV per atom
! * VASP energy: -8.5860 eV/atom
&SYSTEM
  ibrav = 0, nat = 16, ntyp = 4
/
ATOMIC_SPECIES
Mn 54.94 Mn.upf
V 50.94 V.upf
Si 28.09 Si.upf
Ir 192.22 Ir.upf
ATOMIC_POSITIONS angstrom
Mn 0.000 0.000 0.000
Mn 0.000 2.929 2.929
Mn 2.929 0.000 2.929
Mn 2.929 2.929 0.000
V 1.464 1.464 1.464
V 1.464 4.393 4.393
V 4.393 1.464 4.393
V 4.393 4.393 1.464
Si 1.464 1.464 4.393
Si 1.464 4.393 1.464
Si 4.393 1.464 1.464
Si 4.393 4.393 4.393
Ir 0.000 0.000 2.929
Ir 0.000 2.929 0.000
Ir 2.929 0.000 0.000
Ir 2.929 2.929 2.929
CELL_PARAMETERS angstrom
5.858 0.000 0.000
0.000 5.858 0.000
0.000 0.000 5.858


! Mn2ZnSiIr | the Alexandria database | PBE | optimized geometry; values from VASP
! * SG: P4/mmm
! * total magnetic moment: 7.84 μB per cell
! * E_form (uncorrected): 1139.1 meV/atom
! * DOS at the Fermi energy: 0.7802 states/eV per atom
! * VASP energy: -5.6404 eV/atom
&SYSTEM
  ibrav = 0, nat = 5, ntyp = 4
/
ATOMIC_SPECIES
Mn 54.94 Mn.upf
Zn 65.41 Zn.upf
Si 28.09 Si.upf
Ir 192.22 Ir.upf
ATOMIC_POSITIONS angstrom
Mn 0.000 2.249 0.000
Mn 2.249 0.000 0.000
Zn 0.000 0.000 0.000
Si 0.000 0.000 2.119
Ir 2.249 2.249 2.119
CELL_PARAMETERS angstrom
4.498 0.000 0.000
0.000 4.498 0.000
0.000 0.000 4.237


! MnZnSiIr | the Alexandria database | PBE | optimized geometry; values from VASP
! * SG: F-43m
! * total magnetic moment: 6.84 μB per cell
! * E_form (uncorrected): -228.7 meV/atom
! * DOS at the Fermi energy: 1.0378 states/eV per atom
! * VASP energy: -6.4106 eV/atom
&SYSTEM
  ibrav = 0, nat = 16, ntyp = 4
/
ATOMIC_SPECIES
Mn 54.94 Mn.upf
Zn 65.41 Zn.upf
Si 28.09 Si.upf
Ir 192.22 Ir.upf
ATOMIC_POSITIONS angstrom
Mn 0.000 0.000 0.000
Mn 0.000 2.946 2.946
Mn 2.946 0.000 2.946
Mn 2.946 2.946 0.000
Zn 1.473 1.473 1.473
Zn 1.473 4.420 4.420
Zn 4.420 1.473 4.420
Zn 4.420 4.420 1.473
Si 1.473 1.473 4.420
Si 1.473 4.420 1.473
Si 4.420 1.473 1.473
Si 4.420 4.420 4.420
Ir 0.000 0.000 2.946
Ir 0.000 2.946 0.000
Ir 2.946 0.000 0.000
Ir 2.946 2.946 2.946
CELL_PARAMETERS angstrom
5.893 0.000 0.000
0.000 5.893 0.000
0.000 0.000 5.893